(1)
VASP calculation (PBE) on a relaxed Ca2Ge4RuPt3 crystal.

## Properties
- Calculated formation energy: -726.5 kJ/mol of formula units
- Total DFT energy (no corrections): -57.4 eV per cell

Lattice parameters (Å, degrees): 4.2340 4.2340 10.5315 90.00 90.00 90.00
Space group P-4m2 (No. 115)
Inequivalent atoms, fractional coordinates:
Ca 0.0000 0.5000 0.2494 [2 per cell]
Ge 0.0000 0.0000 0.5000 [1 per cell]
Ge 0.0000 0.5000 0.8723 [2 per cell]
Ge 0.5000 0.5000 0.5000 [1 per cell]
Ru 0.5000 0.5000 0.0000 [1 per cell]
Pt 0.0000 0.0000 0.0000 [1 per cell]
Pt 0.0000 0.5000 0.6345 [2 per cell]



(2)
VASP calculation (PBE) on a relaxed Pm2C2Se crystal.

## Properties
- Total DFT energy (no corrections): -143.2 eV per cell

Lattice parameters (Å, degrees): 14.0060 4.1572 7.0720 90.00 102.63 90.00
Space group C2/c (No. 15)
Inequivalent atoms, fractional coordinates:
Pm 0.1420 0.1900 0.1409 [8 per cell]
C 0.2273 0.3691 0.5329 [8 per cell]
Se 0.0000 0.2939 0.7500 [4 per cell]



(3)
VASP calculation (PBE) on a relaxed RbMg2Pb crystal.

## Properties
- Calculated formation energy: -36.5 kJ/mol of formula units
- Total DFT energy (no corrections): -16.5 eV per cell

Lattice parameters (Å, degrees): 5.0722 5.0737 13.9514 90.06 90.11 119.99
Space group P-1 (No. 2)
Inequivalent atoms, fractional coordinates:
Rb 0.1631 0.3300 0.1563 [2 per cell]
Mg 0.1663 0.3332 0.4502 [2 per cell]
Mg 0.4990 0.9991 0.3855 [2 per cell]
Pb 0.1684 0.3347 0.6694 [2 per cell]



(4)
VASP calculation (PBE) on a relaxed Y2TmNi crystal.

## Properties
- Calculated formation energy: 44.7 kJ/mol of formula units
- Energy relative to the lowest polymorph listed for this composition: 365 meV/atom
- Total DFT energy (no corrections): -68.2 eV per cell

Lattice parameters (Å, degrees): 3.5725 3.5725 30.9236 90.00 90.00 120.00
Space group R-3m (No. 166, hexagonal axes)
Inequivalent atoms, fractional coordinates:
Y 0.0000 0.0000 0.1100 [6 per cell]
Tm 0.0000 0.0000 0.0000 [3 per cell]
Ni 0.0000 0.0000 0.5000 [3 per cell]



(5)
VASP calculation (PBE) on a relaxed ZnAs2Se crystal.

## Properties
- Energy relative to the lowest polymorph listed for this composition: 490 meV/atom
- Total DFT energy (no corrections): -51.0 eV per cell

Lattice parameters (Å, degrees): 6.7062 6.7062 6.7062 90.00 90.00 90.00
Space group F-43m (No. 216)
Inequivalent atoms, fractional coordinates:
Zn 0.0000 0.0000 0.0000 [4 per cell]
As 0.0000 0.0000 0.5000 [4 per cell]
As 0.2500 0.2500 0.7500 [4 per cell]
Se 0.2500 0.2500 0.2500 [4 per cell]



(6)
VASP calculation (PBE) on a relaxed ZrScCr3 crystal.

## Properties
- Calculated formation energy: 643.3 kJ/mol of formula units
- Energy relative to the lowest polymorph listed for this composition: 0 meV/atom
- Total DFT energy (no corrections): -37.1 eV per cell

Lattice parameters (Å, degrees): 4.7542 4.7542 4.7542 90.00 90.00 90.00
Space group Pm-3m (No. 221)
Inequivalent atoms, fractional coordinates:
Zr 0.0000 0.0000 0.0000 [1 per cell]
Sc 0.5000 0.5000 0.5000 [1 per cell]
Cr 0.0000 0.0000 0.5000 [3 per cell]



(7)
VASP calculation (PBE) on a relaxed Y4HoTm6 crystal.

## Properties
- Calculated formation energy: 517.0 kJ/mol of formula units
- Energy relative to the lowest polymorph listed for this composition: 188 meV/atom
- Total DFT energy (no corrections): -103.8 eV per cell

Lattice parameters (Å, degrees): 7.4725 7.4725 13.2921 90.00 90.00 90.00
Space group I-42m (No. 121)
Inequivalent atoms, fractional coordinates:
Y 0.1700 0.1700 0.4195 [8 per cell]
Ho 0.0000 0.0000 0.0000 [2 per cell]
Tm 0.0000 0.5000 0.0000 [4 per cell]
Tm 0.2337 0.2337 0.1803 [8 per cell]



(8)
VASP calculation (PBE) on a relaxed SiSb3Au crystal.

## Properties
- Energy relative to the lowest polymorph listed for this composition: 174 meV/atom
- Total DFT energy (no corrections): -16.5 eV per cell

Lattice parameters (Å, degrees): 5.3680 5.3680 5.3680 90.00 90.00 90.00
Space group Pm-3m (No. 221)
Inequivalent atoms, fractional coordinates:
Si 0.0000 0.0000 0.0000 [1 per cell]
Sb 0.0000 0.5000 0.5000 [3 per cell]
Au 0.5000 0.5000 0.5000 [1 per cell]



(9)
VASP calculation (PBE) on a relaxed Ac5TlRu2 crystal.

## Properties
- Calculated formation energy: -190.0 kJ/mol of formula units
- Total DFT energy (no corrections): -173.7 eV per cell

Lattice parameters (Å, degrees): 8.3474 8.3474 15.1118 90.00 90.00 90.00
Space group I4/mcm (No. 140)
Inequivalent atoms, fractional coordinates:
Ac 0.0000 0.0000 0.0000 [4 per cell]
Ac 0.1613 0.3387 0.1287 [16 per cell]
Tl 0.0000 0.0000 0.2500 [4 per cell]
Ru 0.1412 0.3588 0.5000 [8 per cell]



(10)
VASP calculation (PBE) on a relaxed Li3Ca2Zn4 crystal.

## Properties
- Calculated formation energy: -134.8 kJ/mol of formula units
- Total DFT energy (no corrections): -64.9 eV per cell

Lattice parameters (Å, degrees): 5.0796 10.0837 14.2305 90.00 90.00 90.00
Space group Fmmm (No. 69)
Inequivalent atoms, fractional coordinates:
Li 0.0000 0.0000 0.0000 [4 per cell]
Li 0.2500 0.2500 0.0000 [8 per cell]
Ca 0.0000 0.0000 0.3491 [8 per cell]
Zn 0.0000 0.1886 0.1647 [16 per cell]



(11)
VASP calculation (PBE) on a relaxed PrNdErAg crystal.

## Properties
- Calculated formation energy: 20.7 kJ/mol of formula units
- Energy relative to the lowest polymorph listed for this composition: 178 meV/atom
- Total DFT energy (no corrections): -67.0 eV per cell

Lattice parameters (Å, degrees): 7.7712 7.7712 7.7712 90.00 90.00 90.00
Space group F-43m (No. 216)
Inequivalent atoms, fractional coordinates:
Pr 0.0000 0.0000 0.0000 [4 per cell]
Nd 0.0000 0.0000 0.5000 [4 per cell]
Er 0.2500 0.2500 0.2500 [4 per cell]
Ag 0.2500 0.2500 0.7500 [4 per cell]



(12)
VASP calculation (PBE) on a relaxed Ti2FeGe2 crystal.

## Properties
- Calculated formation energy: -235.0 kJ/mol of formula units
- Total DFT energy (no corrections): -71.8 eV per cell

Lattice parameters (Å, degrees): 6.3099 6.3099 3.7782 90.00 90.00 90.00
Space group P4/mbm (No. 127)
Inequivalent atoms, fractional coordinates:
Ti 0.1674 0.3326 0.0000 [4 per cell]
Fe 0.0000 0.0000 0.5000 [2 per cell]
Ge 0.1403 0.6403 0.5000 [4 per cell]



(13)
VASP calculation (PBE) on a relaxed NaGaCoP crystal.

## Properties
- Calculated formation energy: -134.3 kJ/mol of formula units
- Total DFT energy (no corrections): -36.5 eV per cell

Lattice parameters (Å, degrees): 3.6960 3.6960 11.0335 90.00 90.00 90.00
Space group P4/nmm (No. 129, origin choice 2)
Inequivalent atoms, fractional coordinates:
Na 0.2500 0.2500 0.2456 [2 per cell]
Ga 0.2500 0.7500 0.5000 [2 per cell]
Co 0.2500 0.7500 0.0000 [2 per cell]
P 0.2500 0.2500 0.8903 [2 per cell]



(14)
VASP calculation (PBE) on a relaxed ZrSbTe2Pt crystal.

## Properties
- Energy relative to the lowest polymorph listed for this composition: 261 meV/atom
- Total DFT energy (no corrections): -21.9 eV per cell

Lattice parameters (Å, degrees): 5.4479 5.4479 5.5480 90.00 90.00 90.00
Space group P4/mmm (No. 123)
Inequivalent atoms, fractional coordinates:
Zr 0.0000 0.0000 0.0000 [1 per cell]
Sb 0.0000 0.0000 0.5000 [1 per cell]
Te 0.0000 0.5000 0.0000 [2 per cell]
Pt 0.5000 0.5000 0.5000 [1 per cell]



(15)
VASP calculation (PBE) on a relaxed PaSi2Ir2 crystal.

## Properties
- Total DFT energy (no corrections): -86.2 eV per cell

Lattice parameters (Å, degrees): 4.1138 4.1138 9.9310 90.00 90.00 90.00
Space group P4/nmm (No. 129, origin choice 2)
Inequivalent atoms, fractional coordinates:
Pa 0.2500 0.2500 0.2489 [2 per cell]
Si 0.2500 0.2500 0.6336 [2 per cell]
Si 0.2500 0.7500 0.0000 [2 per cell]
Ir 0.2500 0.2500 0.8721 [2 per cell]
Ir 0.2500 0.7500 0.5000 [2 per cell]



(16)
VASP calculation (PBE) on a relaxed Li4RuO5 crystal.

## Properties
- Total DFT energy (no corrections): -114.4 eV per cell

Lattice parameters (Å, degrees): 6.5991 6.5991 4.0670 90.00 90.00 90.00
Space group I4/m (No. 87)
Inequivalent atoms, fractional coordinates:
Li 0.0968 0.6938 0.0000 [8 per cell]
Ru 0.0000 0.0000 0.5000 [2 per cell]
O 0.0000 0.0000 0.0000 [2 per cell]
O 0.0885 0.7233 0.5000 [8 per cell]



(17)
VASP calculation (PBE) on a relaxed K2ZrSbS5 crystal.

## Properties
- Total DFT energy (no corrections): -177.0 eV per cell

Lattice parameters (Å, degrees): 4.1488 18.1370 13.7778 90.00 90.00 90.00
Space group Cmc2_1 (No. 36)
Inequivalent atoms, fractional coordinates:
K 0.0000 0.1123 0.0000 [4 per cell]
K 0.0000 0.1363 0.6481 [4 per cell]
Zr 0.0000 0.2172 0.3666 [4 per cell]
Sb 0.0000 0.4441 0.7665 [4 per cell]
S 0.0000 0.0560 0.3694 [4 per cell]
S 0.0000 0.2919 0.9776 [4 per cell]
S 0.0000 0.3112 0.7320 [4 per cell]
S 0.0000 0.3434 0.3298 [4 per cell]
S 0.0000 0.4992 0.6121 [4 per cell]



(18)
VASP calculation (PBE) on a relaxed SmDy7In2 crystal.

## Properties
- Calculated formation energy: 335.7 kJ/mol of formula units
- Total DFT energy (no corrections): -77.9 eV per cell

Lattice parameters (Å, degrees): 9.1231 15.2886 5.5052 90.00 90.00 90.00
Space group Cmmm (No. 65)
Inequivalent atoms, fractional coordinates:
Sm 0.0000 0.0000 0.0000 [2 per cell]
Dy 0.0000 0.2319 0.0000 [4 per cell]
Dy 0.0000 0.5000 0.5000 [2 per cell]
Dy 0.1805 0.1220 0.5000 [8 per cell]
In 0.0000 0.3030 0.5000 [4 per cell]



(19)
VASP calculation (PBE) on a relaxed RbNiI2Br6 crystal.

## Properties
- Total DFT energy (no corrections): -24.4 eV per cell

Lattice parameters (Å, degrees): 8.0980 8.1033 8.2667 93.82 114.83 119.60
Space group P1 (No. 1)
Inequivalent atoms, fractional coordinates:
Rb 0.0000 0.0000 0.0000 [1 per cell]
Ni 0.4938 0.2144 0.7533 [1 per cell]
I 0.1831 0.6591 0.2837 [1 per cell]
I 0.7871 0.6637 0.5136 [1 per cell]
Br 0.0523 0.0485 0.5525 [1 per cell]
Br 0.4351 0.8893 0.6663 [1 per cell]
Br 0.5020 0.2604 0.4677 [1 per cell]
Br 0.5033 0.1506 0.0307 [1 per cell]
Br 0.5232 0.5134 0.8479 [1 per cell]
Br 0.9402 0.4064 0.9214 [1 per cell]



(20)
VASP calculation (PBE) on a relaxed KScZn2 crystal.

## Properties
- Calculated formation energy: 141.5 kJ/mol of formula units
- Energy relative to the lowest polymorph listed for this composition: 375 meV/atom
- Total DFT energy (no corrections): -34.0 eV per cell

Lattice parameters (Å, degrees): 6.9924 6.9924 6.9924 90.00 90.00 90.00
Space group F-43m (No. 216)
Inequivalent atoms, fractional coordinates:
K 0.0000 0.0000 0.0000 [4 per cell]
Sc 0.2500 0.2500 0.2500 [4 per cell]
Zn 0.0000 0.0000 0.5000 [4 per cell]
Zn 0.2500 0.2500 0.7500 [4 per cell]



(21)
VASP calculation (PBE) on a relaxed KLi2Pt crystal.

## Properties
- Calculated formation energy: -56.6 kJ/mol of formula units
- Total DFT energy (no corrections): -23.1 eV per cell

Lattice parameters (Å, degrees): 2.9770 4.3249 15.8981 90.00 90.00 90.00
Space group Imm2 (No. 44)
Inequivalent atoms, fractional coordinates:
K 0.0000 0.0000 0.0000 [2 per cell]
Li 0.0000 0.0000 0.6910 [2 per cell]
Li 0.0000 0.5000 0.8127 [2 per cell]
Pt 0.0000 0.5000 0.3198 [2 per cell]



(22)
VASP calculation (PBE) on a relaxed Cs2KTl crystal.

## Properties
- Calculated formation energy: 26.5 kJ/mol of formula units
- Energy relative to the lowest polymorph listed for this composition: 116 meV/atom
- Total DFT energy (no corrections): -19.6 eV per cell

Lattice parameters (Å, degrees): 10.1267 10.1267 10.1267 90.00 90.00 90.00
Space group Fm-3m (No. 225)
Inequivalent atoms, fractional coordinates:
Cs 0.2500 0.2500 0.2500 [8 per cell]
K 0.0000 0.0000 0.0000 [4 per cell]
Tl 0.0000 0.0000 0.5000 [4 per cell]



(23)
VASP calculation (PBE) on a relaxed SmEuPdPt crystal.

## Properties
- Calculated formation energy: -340.0 kJ/mol of formula units
- Total DFT energy (no corrections): -119.0 eV per cell

Lattice parameters (Å, degrees): 7.1629 7.1629 7.1629 90.00 90.00 90.00
Space group F-43m (No. 216)
Inequivalent atoms, fractional coordinates:
Sm 0.0000 0.0000 0.0000 [4 per cell]
Eu 0.0000 0.0000 0.5000 [4 per cell]
Pd 0.2500 0.2500 0.2500 [4 per cell]
Pt 0.2500 0.2500 0.7500 [4 per cell]



(24)
VASP calculation (PBE) on a relaxed Nd3Ag2Hg4 crystal.

## Properties
- Calculated formation energy: -345.2 kJ/mol of formula units
- Energy relative to the lowest polymorph listed for this composition: 0 meV/atom
- Total DFT energy (no corrections): -49.6 eV per cell

Lattice parameters (Å, degrees): 11.1469 4.9886 9.2828 90.00 119.64 90.00
Space group C2/m (No. 12)
Inequivalent atoms, fractional coordinates:
Nd 0.0000 0.0000 0.0000 [2 per cell]
Nd 0.1671 0.5000 0.6650 [4 per cell]
Ag 0.1085 0.5000 0.2771 [4 per cell]
Hg 0.0588 0.0000 0.3880 [4 per cell]
Hg 0.2155 0.5000 0.0551 [4 per cell]



Values for V, A^3/atom, ordered as above
18.9, 20.1, 38.9, 28.5, 18.8, 21.5, 33.7, 30.9, 32.9, 20.2, 29.3, 15.0, 18.8, 32.9, 16.8, 8.9, 28.8, 38.4, 40.1, 21.4, 25.6, 64.9, 23.0, 24.9